1.
## LiZn6Ag (PBE)

Data for an optimized crystal structure of LiZn6Ag. Values from VASP.

Computed properties:
Space group: Pmm2, No. 25
Uncorrected energy (eV per atom): -1.641

Structure (Quantum ESPRESSO input):
```
&SYSTEM
  ibrav = 0, nat = 8, ntyp = 3
/
ATOMIC_SPECIES
Li 6.94 Li.upf
Zn 65.41 Zn.upf
Ag 107.87 Ag.upf
ATOMIC_POSITIONS angstrom
Li 0.000 0.000 0.000
Zn 0.000 1.325 2.427
Zn 0.000 2.751 0.164
Zn 0.000 4.177 2.427
Zn 2.183 0.000 3.288
Zn 2.183 1.330 0.848
Zn 2.183 4.172 0.848
Ag 2.183 2.751 3.319
CELL_PARAMETERS angstrom
4.366 0.000 0.000
0.000 5.502 0.000
0.000 0.000 4.837
```

***

2.
## AcAsOsO (PBE)

Data for an optimized crystal structure of AcAsOsO. Values from VASP.

Computed properties:
Space group: Pmc2_1, No. 26
Offset from the most stable computed form (eV per formula unit): 3.45
Total moment (μB/f.u.): 0.5

Structure (Quantum ESPRESSO input):
```
&SYSTEM
  ibrav = 0, nat = 8, ntyp = 4
/
ATOMIC_SPECIES
Ac 227.00 Ac.upf
As 74.92 As.upf
Os 190.23 Os.upf
O 16.00 O.upf
ATOMIC_POSITIONS angstrom
Ac 0.000 1.493 0.000
Ac 0.000 4.995 3.120
As 0.000 1.768 3.109
As 0.000 4.720 6.229
Os 2.242 2.740 3.631
Os 2.242 3.748 0.511
O 2.242 1.994 5.485
O 2.242 4.494 2.365
CELL_PARAMETERS angstrom
4.484 0.000 0.000
0.000 6.488 0.000
0.000 0.000 6.241
```

***

3.
## TlCoTeAuS2 (PBE)

Data for an optimized crystal structure of TlCoTeAuS2. Values from VASP.

Computed properties:
Space group: Cmcm, No. 63
Uncorrected energy (eV per atom): -4.172
Total moment (μB/f.u.): 0.0

Structure (Quantum ESPRESSO input):
```
&SYSTEM
  ibrav = 0, nat = 12, ntyp = 5
/
ATOMIC_SPECIES
Tl 204.38 Tl.upf
Co 58.93 Co.upf
Te 127.60 Te.upf
Au 196.97 Au.upf
S 32.06 S.upf
ATOMIC_POSITIONS angstrom
Tl 1.710 4.432 7.622
Tl 1.710 -4.432 2.541
Co 1.710 0.000 0.000
Co 1.710 0.000 5.081
Te 1.710 0.623 2.541
Te 1.710 -0.623 7.622
Au 1.710 5.928 2.541
Au 1.710 -5.928 7.622
S 1.710 6.337 0.187
S 1.710 6.337 4.895
S 1.710 -6.337 5.268
S 1.710 -6.337 9.976
CELL_PARAMETERS angstrom
1.710 -7.851 0.000
1.710 7.851 0.000
0.000 0.000 10.163
```

***

4.
## AcH3Pd3 (PBE)

Data for an optimized crystal structure of AcH3Pd3. Values from VASP.

Computed properties:
Space group: R-3, No. 148
Uncorrected energy (eV per atom): -4.717
Total moment (μB/f.u.): 0.0

Structure (Quantum ESPRESSO input):
```
&SYSTEM
  ibrav = 0, nat = 14, ntyp = 3
/
ATOMIC_SPECIES
Ac 227.00 Ac.upf
H 1.01 H.upf
Pd 106.42 Pd.upf
ATOMIC_POSITIONS angstrom
Ac 0.000 0.000 1.858
Ac 0.000 0.000 9.407
H -2.227 0.049 4.558
H -1.156 -1.905 6.707
H 1.072 -1.953 4.558
H -1.072 1.953 6.707
H 1.156 1.905 4.558
H 2.227 -0.049 6.707
Pd -0.708 -1.563 4.437
Pd -1.708 -0.169 6.828
Pd -1.000 1.395 4.437
Pd 1.000 -1.395 6.828
Pd 1.708 0.169 4.437
Pd 0.708 1.563 6.828
CELL_PARAMETERS angstrom
3.750 2.165 3.755
-3.750 2.165 3.755
0.000 -4.330 3.755
```

***

5.
## Sm3AgS6 (PBE)

Data for an optimized crystal structure of Sm3AgS6. Values from VASP.

Computed properties:
Space group: P-1, No. 2
Uncorrected energy (eV per atom): -5.629
Total moment (μB/f.u.): 0.0

Structure (Quantum ESPRESSO input):
```
&SYSTEM
  ibrav = 0, nat = 10, ntyp = 3
/
ATOMIC_SPECIES
Sm 150.36 Sm.upf
Ag 107.87 Ag.upf
S 32.06 S.upf
ATOMIC_POSITIONS angstrom
Sm 0.000 0.000 0.000
Sm 2.474 3.668 2.274
Sm 4.390 2.952 6.049
Ag 0.899 -0.098 4.162
S 2.254 4.530 5.051
S 2.190 1.053 5.856
S 2.166 1.792 0.205
S 4.697 4.828 8.118
S 4.674 5.567 2.467
S 4.609 2.090 3.272
CELL_PARAMETERS angstrom
4.309 0.000 0.000
0.757 6.816 0.000
1.797 -0.196 8.323
```

***

6.
## TmSnAuSe3 (PBE)

Data for an optimized crystal structure of TmSnAuSe3. Values from VASP.

Computed properties:
Space group: Pnma, No. 62
Offset from the most stable computed form (eV per formula unit): 0.37
Total moment (μB/f.u.): 0.0

Structure (Quantum ESPRESSO input):
```
&SYSTEM
  ibrav = 0, nat = 24, ntyp = 4
/
ATOMIC_SPECIES
Tm 168.93 Tm.upf
Sn 118.71 Sn.upf
Au 196.97 Au.upf
Se 78.96 Se.upf
ATOMIC_POSITIONS angstrom
Tm 0.135 1.011 1.874
Tm 6.642 3.032 7.316
Tm 6.912 1.011 3.568
Tm 13.419 3.032 9.009
Sn 2.978 1.011 4.877
Sn 3.799 3.032 10.319
Sn 9.755 1.011 0.565
Sn 10.576 3.032 6.006
Au 0.093 3.032 4.388
Au 6.684 1.011 9.829
Au 6.870 3.032 1.054
Au 13.461 1.011 6.496
Se 1.468 1.011 10.236
Se 1.727 3.032 6.830
Se 2.025 3.032 2.643
Se 4.752 1.011 8.085
Se 5.050 1.011 1.388
Se 5.309 3.032 4.794
Se 8.245 1.011 6.089
Se 8.504 3.032 9.495
Se 8.802 3.032 2.798
Se 11.529 1.011 8.240
Se 11.827 1.011 4.053
Se 12.086 3.032 0.648
CELL_PARAMETERS angstrom
13.554 0.000 0.000
0.000 4.043 0.000
0.000 0.000 10.883
```

***

7.
## Er6CoBi2 (PBE)

Data for an optimized crystal structure of Er6CoBi2. Values from VASP.

Computed properties:
Space group: P-62m, No. 189
Uncorrected energy (eV per atom): -5.200
Total moment (μB/f.u.): 0.9

Structure (Quantum ESPRESSO input):
```
&SYSTEM
  ibrav = 0, nat = 9, ntyp = 3
/
ATOMIC_SPECIES
Er 167.26 Er.upf
Co 58.93 Co.upf
Bi 208.98 Bi.upf
ATOMIC_POSITIONS angstrom
Er -0.960 1.663 0.000
Er -2.532 4.386 2.032
Er 1.920 0.000 0.000
Er 1.623 2.812 2.032
Er 5.065 0.000 2.032
Er 3.196 5.536 0.000
Co 0.000 0.000 2.032
Bi 0.000 4.799 0.000
Bi 4.156 2.399 0.000
CELL_PARAMETERS angstrom
8.312 0.000 0.000
-4.156 7.198 0.000
0.000 0.000 4.064
```

***

8.
## ZnCuBiPt (PBE)

Data for an optimized crystal structure of ZnCuBiPt. Values from VASP.

Computed properties:
Space group: F-43m, No. 216
Offset from the most stable computed form (eV per formula unit): 0.08
Total moment (μB/f.u.): 0.0

Structure (Quantum ESPRESSO input):
```
&SYSTEM
  ibrav = 0, nat = 4, ntyp = 4
/
ATOMIC_SPECIES
Zn 65.41 Zn.upf
Cu 63.55 Cu.upf
Bi 208.98 Bi.upf
Pt 195.08 Pt.upf
ATOMIC_POSITIONS angstrom
Zn 0.000 0.000 0.000
Cu 3.287 3.287 3.287
Bi 4.931 4.931 4.931
Pt 1.644 1.644 1.644
CELL_PARAMETERS angstrom
0.000 3.287 3.287
3.287 0.000 3.287
3.287 3.287 0.000
```